This record from the Alexandria database describes a relaxed structure of K2Ce2NiS6. The functional is PBE.

```
11
Lattice="-6.7086 0.1292 0.8262 4.0293 -0.2129 5.4244 1.0587 7.5497 -1.9108" Properties=species:S:1:pos:R:3 pbc="T T T"
K -4.9136 0.0720 1.5948
K 2.2343 -0.1557 4.6558
Ce 0.9741 3.6762 2.9340
Ce -2.5947 3.7899 1.4058
Ni 0.5294 3.7749 -0.9554
S -1.3152 5.1036 3.4508
S 1.8305 5.1416 0.7821
S -0.3054 2.3624 0.8889
S -1.5496 5.2493 -0.6653
S -3.4511 2.3244 3.5577
S -0.0710 2.2168 5.0051
```

**E_form (uncorrected)**: -1.3056 eV per atom